No. 1
Compound: PmTeS
Source: Alexandria
Functional: GGA-PBE
Structure: optimized geometry

Cell and atoms, written as extended XYZ:
```
6
Lattice="-0.801 -3.724 -1.299 3.657 -0.277 4.772 -7.378 0.577 2.896" Properties=species:S:1:pos:R:3 pbc="T T T"
Pm -5.913 -1.597 1.989
Pm 1.390 -1.827 4.380
Te -4.644 -2.823 4.721
Te 0.122 -0.601 1.648
S -0.959 -3.338 3.924
S -3.564 -0.086 2.445
```

Values from the calculation:
For the magnetization, the calculation gives 0.0 μB/f.u. The uncorrected formation energy is -1.299 eV per atom. As for the calculated total energy: -5.306 eV per atom.



No. 2
Compound: TbTmSO2
Source: Alexandria
Functional: GGA-PBE
Structure: optimized geometry

Cell and atoms, written as extended XYZ:
```
10
Lattice="3.970 0.000 0.000 0.000 6.277 -0.410 0.000 -1.843 7.206" Properties=species:S:1:pos:R:3 pbc="T T T"
Tb 0.993 2.624 6.403
Tb 2.978 1.810 0.393
Tm 0.993 3.505 2.760
Tm 2.978 0.929 4.036
S 0.993 -1.133 5.448
S 2.978 5.568 1.348
O 2.978 2.548 2.566
O 0.993 1.886 4.230
O 2.978 1.651 6.088
O 0.993 2.783 0.708
```

Values from the calculation:
For the magnetization, the calculation gives 0.0 μB/f.u. The uncorrected formation energy is -3.160 eV per atom. As for the calculated total energy: -7.789 eV per atom.



No. 3
Compound: SrPd3Au2
Source: Alexandria
Functional: GGA-PBE
Structure: optimized geometry

Cell and atoms, written as extended XYZ:
```
12
Lattice="6.010 0.000 0.000 3.005 5.204 0.000 3.005 1.735 7.235" Properties=species:S:1:pos:R:3 pbc="T T T"
Sr 9.014 5.204 4.644
Sr 3.005 1.735 2.591
Pd 4.590 4.289 2.305
Pd 6.010 1.830 2.305
Pd 7.429 4.289 2.305
Pd 6.010 5.109 4.930
Pd 7.429 2.650 4.930
Pd 4.590 2.650 4.930
Au 0.000 0.000 0.000
Au 1.502 2.602 0.000
Au 4.507 2.602 0.000
Au 3.005 0.000 0.000
```

Values from the calculation:
For the magnetization, the calculation gives 0.0 μB/f.u. As for the calculated total energy: -4.247 eV per atom.



No. 4
Compound: HfMn4W
Source: Alexandria
Functional: GGA-PBE
Structure: optimized geometry

Cell and atoms, written as extended XYZ:
```
6
Lattice="4.842 0.000 0.000 2.421 4.193 0.000 2.421 1.398 3.953" Properties=species:S:1:pos:R:3 pbc="T T T"
Mn 4.842 2.796 0.493
Mn 4.842 1.397 2.471
Mn 6.053 3.495 2.471
Mn 3.631 3.495 2.471
Hf 2.421 1.398 0.988
W 0.000 0.000 0.000
```

Values from the calculation:
For the magnetization, the calculation gives 3.8 μB/f.u. As for the calculated total energy: -10.042 eV per atom.



No. 5
Compound: Na2Cd9Ag6
Source: Alexandria
Functional: GGA-PBE
Structure: optimized geometry

Cell and atoms, written as extended XYZ:
```
17
Lattice="5.906 0.000 0.000 -2.953 5.115 0.000 0.000 0.000 14.029" Properties=species:S:1:pos:R:3 pbc="T T T"
Na 0.000 0.000 9.307
Na 0.000 0.000 4.722
Cd 2.953 0.000 11.711
Cd -1.477 2.557 11.711
Cd 1.477 2.557 11.711
Cd 2.953 0.000 2.318
Cd -1.477 2.557 2.318
Cd 1.477 2.557 2.318
Cd 2.953 0.000 7.015
Cd -1.477 2.557 7.015
Cd 1.477 2.557 7.015
Ag 0.000 3.410 0.000
Ag 2.953 1.705 0.000
Ag 0.000 3.410 9.365
Ag 2.953 1.705 9.365
Ag 2.953 1.705 4.664
Ag 0.000 3.410 4.664
```

Values from the calculation:
For the magnetization, the calculation gives 0.0 μB/f.u. As for the calculated total energy: -1.627 eV per atom.



No. 6
Compound: DyHo14Sc
Source: Alexandria
Functional: GGA-PBE
Structure: optimized geometry

Cell and atoms, written as extended XYZ:
```
16
Lattice="6.957 0.933 0.000 -0.934 6.957 0.000 0.000 0.000 9.910" Properties=species:S:1:pos:R:3 pbc="T T T"
Dy 5.970 1.686 0.000
Ho 2.025 4.699 4.955
Ho 5.972 1.685 4.955
Ho 5.503 5.164 0.000
Ho 5.504 5.165 4.955
Ho 2.492 1.220 0.000
Ho 2.492 1.219 4.955
Ho 3.522 6.658 7.454
Ho 3.522 6.658 2.457
Ho 0.529 2.738 7.454
Ho 0.529 2.738 2.457
Ho 0.064 6.195 7.454
Ho 0.064 6.195 2.457
Ho 3.987 3.201 7.452
Ho 3.987 3.201 2.459
Sc 2.026 4.698 0.000
```

Values from the calculation:
For the magnetization, the calculation gives 0.0 μB/f.u. As for the calculated total energy: -4.665 eV per atom.